# 1
First-principles (GGA-PBE) data for crystalline Hg2GeO4 at its relaxed geometry, as listed in Alexandria.

a = 10.0369 Å, b = 8.2268 Å, c = 8.2268 Å
α = 89.99°, β = 90.00°, γ = 90.00°
With the nearest neighbours (Å) after each atom.
Fractional positions:
Hg  0.5000  0.1614  0.1614  2 O 2.05
Hg  0.0000  0.1614  0.8386  2 O 2.05
Hg  0.0000  0.8386  0.1614  2 O 2.05
Hg  0.5000  0.8386  0.8386  2 O 2.05
Hg  0.5000  0.6614  0.3386  2 O 2.05
Hg  0.0000  0.6614  0.6614  2 O 2.05
Hg  0.5000  0.3386  0.6614  2 O 2.05
Hg  0.0000  0.3386  0.3386  2 O 2.05
Ge  0.0004  0.0000  0.5000  4 O 1.79
Ge  0.5004  0.0000  0.5000  4 O 1.79
Ge  0.9996  0.5000  0.0000  4 O 1.79
Ge  0.4996  0.5000  0.0000  4 O 1.79
O  0.0884  0.1897  0.5060  1 Ge 1.79
O  0.4121  0.1896  0.4938  1 Ge 1.79
O  0.9121  0.0062  0.3104  1 Ge 1.79
O  0.5884  0.0060  0.6897  1 Ge 1.79
O  0.5884  0.9940  0.3103  1 Ge 1.79
O  0.9121  0.9938  0.6896  1 Ge 1.79
O  0.4121  0.8104  0.5062  1 Ge 1.79
O  0.0884  0.8103  0.4940  1 Ge 1.79
O  0.4116  0.6897  0.0060  1 Ge 1.79
O  0.0879  0.6896  0.9938  1 Ge 1.79
O  0.5879  0.5062  0.8104  1 Ge 1.79
O  0.9116  0.5060  0.1897  1 Ge 1.79
O  0.9116  0.4940  0.8103  1 Ge 1.79
O  0.5879  0.4938  0.1896  1 Ge 1.79
O  0.0879  0.3104  0.0062  1 Ge 1.79
O  0.4116  0.3103  0.9940  1 Ge 1.79

Output
Its calculated density is 5.26 g/cm3. Its formation energy without anion corrections is -0.770 eV/atom. The space-group type is Ccce, No. 68. As for the density of states at the Fermi level: 0.000 states/eV per cell. The total energy is -4.35 eV/atom.

***

# 2
First-principles (GGA-PBE) data for crystalline TbTh2Ir9 at its relaxed geometry, as listed in Alexandria.

a = 5.3461 Å, b = 5.3461 Å, c = 9.4423 Å
α = 73.56°, β = 73.56°, γ = 60.00°
With the nearest neighbours (Å) after each atom.
Fractional positions:
Tb  0.0000  0.0000  0.0000  18 Ir 3.09-3.44
Th  0.8621  0.8621  0.4136  12 Ir 3.07-3.43
Th  0.1379  0.1379  0.5864  12 Ir 3.07-3.43
Ir  0.6673  0.6673  0.9980  6 Ir 2.65-2.68
Ir  0.3327  0.3327  0.0020  6 Ir 2.65-2.68
Ir  0.5000  0.5000  0.5000  6 Ir 2.76
Ir  0.4189  0.4189  0.2434  7 Ir 2.65-2.76
Ir  0.9188  0.4189  0.2434  7 Ir 2.65-2.76
Ir  0.4189  0.9188  0.2434  7 Ir 2.65-2.76
Ir  0.5811  0.5811  0.7566  7 Ir 2.65-2.76
Ir  0.5811  0.0812  0.7566  7 Ir 2.65-2.76
Ir  0.0812  0.5811  0.7566  7 Ir 2.65-2.76

Output
Its calculated density is 17.69 g/cm3. As for the formation enthalpy at 0 K: -7.51 eV per formula unit. The space-group type is R-3m, No. 166. As for the density of states at the Fermi level: 10.421 states/eV per cell. The total energy is -8.89 eV/atom.

***

# 3
First-principles (GGA-PBE) data for crystalline TcHg3 at its relaxed geometry, as listed in Alexandria.

a = 5.4001 Å, b = 5.4001 Å, c = 5.4001 Å
α = 90.00°, β = 90.00°, γ = 90.00°
With the nearest neighbours (Å) after each atom.
Fractional positions:
Hg  0.0000  0.0000  0.5000  2 Tc 2.70
Hg  0.0000  0.5000  0.0000  2 Tc 2.70
Hg  0.5000  0.0000  0.0000  2 Tc 2.70
Tc  0.0000  0.0000  0.0000  6 Hg 2.70

Output
Its calculated density is 7.38 g/cm3. As for the formation enthalpy at 0 K: 3.12 eV per formula unit. The calculation puts the energy above the most stable polymorph in this dataset at 437 meV/atom. The space-group type is Pm-3m, No. 221. As for the density of states at the Fermi level: 3.282 states/eV per cell. The total energy is -2.04 eV/atom.

***

# 4
First-principles (GGA-PBE) data for crystalline CrRh at its relaxed geometry, as listed in Alexandria.

a = 2.6497 Å, b = 2.6497 Å, c = 8.6163 Å
α = 90.00°, β = 90.00°, γ = 120.00°
With the nearest neighbours (Å) after each atom.
Fractional positions:
Cr  0.0000  0.0000  0.9992  3 Rh 2.54, 9 Cr 2.65
Cr  0.3333  0.6667  0.2508  3 Rh 2.54, 9 Cr 2.65
Rh  0.0000  0.0000  0.4857  3 Cr 2.54, 6 Rh 2.65
Rh  0.3333  0.6667  0.7643  3 Cr 2.54, 6 Rh 2.65

Output
Its calculated density is 9.82 g/cm3. As for the formation enthalpy at 0 K: 0.07 eV per formula unit. The space-group type is P-3m1, No. 164. As for the density of states at the Fermi level: 4.769 states/eV per cell. The total energy is -8.45 eV/atom.

***

# 5
First-principles (GGA-PBE) data for crystalline SrScSbTe2 at its relaxed geometry, as listed in Alexandria.

a = 5.9530 Å, b = 5.9530 Å, c = 5.8491 Å
α = 90.00°, β = 90.00°, γ = 90.00°
With the nearest neighbours (Å) after each atom.
Fractional positions:
Sc  0.5000  0.5000  0.5000  8 Te 4.17, 4 Sb 4.21
Sb  0.0000  0.0000  0.5000  2 Sr 2.92
Te  0.0000  0.5000  0.0000  2 Sr 2.98
Te  0.5000  0.0000  0.0000  2 Sr 2.98
Sr  0.0000  0.0000  0.0000  2 Sb 2.92, 4 Te 2.98

Output
Its calculated density is 4.08 g/cm3. Its formation energy without anion corrections is 0.363 eV/atom. The calculation puts the energy above the most stable polymorph in this dataset at 1135 meV/atom. The space-group type is P4/mmm, No. 123. As for the density of states at the Fermi level: 6.065 states/eV per cell. The total energy is -3.32 eV/atom.

***

# 6
First-principles (GGA-PBE) data for crystalline MoRh2 at its relaxed geometry, as listed in Alexandria.

a = 12.1538 Å, b = 12.1538 Å, c = 12.1538 Å
α = 166.92°, β = 166.92°, γ = 18.54°
With the nearest neighbours (Å) after each atom.
Fractional positions:
Mo  0.7500  0.2500  0.5000  8 Rh 2.69, 4 Mo 2.77
Mo  0.0000  0.0000  0.0000  8 Rh 2.69, 4 Mo 2.77
Rh  0.4231  0.4231  0.0000  6 Rh 2.69-2.77, 4 Mo 2.69
Rh  0.5769  0.5769  0.0000  6 Rh 2.69-2.77, 4 Mo 2.69
Rh  0.1731  0.6731  0.5000  6 Rh 2.69-2.77, 4 Mo 2.69
Rh  0.3269  0.8269  0.5000  6 Rh 2.69-2.77, 4 Mo 2.69

Output
Its calculated density is 10.90 g/cm3. As for the formation enthalpy at 0 K: -0.07 eV per formula unit. The space-group type is I4_1/amd, No. 141. As for the density of states at the Fermi level: 6.401 states/eV per cell. The total energy is -8.53 eV/atom.

***

# 7
First-principles (GGA-PBE) data for crystalline SrPt4Pb12 at its relaxed geometry, as listed in Alexandria.

a = 8.6127 Å, b = 8.6127 Å, c = 8.6127 Å
α = 109.47°, β = 109.47°, γ = 109.47°
With the nearest neighbours (Å) after each atom.
Fractional positions:
Sr  0.0000  0.0000  0.0000  12 Pb 3.74
Pt  0.0000  0.5000  0.0000  6 Pb 2.79
Pt  0.5000  0.0000  0.0000  6 Pb 2.79
Pt  0.5000  0.5000  0.5000  6 Pb 2.79
Pt  0.0000  0.0000  0.5000  6 Pb 2.79
Pb  0.8397  0.3407  0.1804  2 Pt 2.79
Pb  0.3407  0.5009  0.1603  2 Pt 2.79
Pb  0.8196  0.1603  0.6593  2 Pt 2.79
Pb  0.3407  0.1804  0.8397  2 Pt 2.79
Pb  0.1804  0.8397  0.3407  2 Pt 2.79
Pb  0.6593  0.4991  0.8397  2 Pt 2.79
Pb  0.5009  0.1603  0.3407  2 Pt 2.79
Pb  0.4991  0.8397  0.6593  2 Pt 2.79
Pb  0.6593  0.8196  0.1603  2 Pt 2.79
Pb  0.8397  0.6593  0.4991  2 Pt 2.79
Pb  0.1603  0.3407  0.5009  2 Pt 2.79
Pb  0.1603  0.6593  0.8196  2 Pt 2.79

Output
Its calculated density is 11.33 g/cm3. As for the formation enthalpy at 0 K: -2.53 eV per formula unit. The space-group type is Im-3, No. 204. As for the density of states at the Fermi level: 10.515 states/eV per cell. The total energy is -4.29 eV/atom.

***

# 8
First-principles (GGA-PBE) data for crystalline Tb4Er3Th5 at its relaxed geometry, as listed in Alexandria.

a = 5.4931 Å, b = 6.2725 Å, c = 13.1636 Å
α = 92.54°, β = 77.96°, γ = 64.03°
With the nearest neighbours (Å) after each atom.
Fractional positions:
Tb  0.9012  0.4328  0.7648  3 Tb 3.45-3.57, 1 Er 3.49, 4 Th 3.59-3.84
Tb  0.2312  0.8135  0.7241  2 Th 3.14-3.34, 1 Tb 3.45, 2 Er 3.49
Tb  0.7688  0.1865  0.2759  2 Th 3.14-3.34, 1 Tb 3.45, 2 Er 3.49
Tb  0.0988  0.5672  0.2352  3 Tb 3.45-3.57, 1 Er 3.49, 4 Th 3.59-3.84
Er  0.3256  0.9542  0.3945  2 Th 3.08-3.44, 1 Er 3.17
Er  0.0000  0.5000  0.5000  2 Th 2.75
Er  0.6744  0.0458  0.6055  2 Th 3.08-3.44, 1 Er 3.17
Th  0.5312  0.0640  0.8735  1 Er 3.44, 6 Th 3.44-3.80, 5 Tb 3.52-3.84
Th  0.5000  0.5000  0.5000  2 Er 2.75
Th  0.1730  0.6851  0.9690  2 Tb 3.34-3.59, 6 Th 3.52-3.61
Th  0.8270  0.3149  0.0310  2 Tb 3.34-3.59, 6 Th 3.52-3.61
Th  0.4688  0.9360  0.1265  1 Er 3.44, 6 Th 3.44-3.80, 5 Tb 3.52-3.84

Output
Its calculated density is 9.68 g/cm3. As for the formation enthalpy at 0 K: 3.81 eV per formula unit. The space-group type is C2/m, No. 12. As for the density of states at the Fermi level: 18.110 states/eV per cell. The total energy is -5.46 eV/atom.